AgMo2I: optimized geometry, GGA-PBEsol.

Structure (POSCAR):
```
AgMo2I
1.0
-0.984 0.911 4.359
-3.965 -1.384 1.780
-0.067 -3.368 3.075
I Ag Mo
1 1 2
Direct
0.500 0.500 0.500
0.000 0.000 0.000
0.250 0.250 0.250
0.750 0.750 0.750
```

Computed properties:
Uncorrected formation energy (kJ per mole of atoms): 90
Fermi-level density of states (states/eV/f.u.): 3.8

***

AgSb2MoI: optimized geometry, GGA-PBEsol.

Structure (POSCAR):
```
AgSb2MoI
1.0
-0.269 3.633 3.573
-1.687 -3.440 3.370
5.321 -1.111 1.530
Sb I Mo Ag
2 1 1 1
Direct
0.500 0.000 0.000
0.000 0.500 0.000
0.000 0.000 0.500
0.000 0.000 0.000
0.500 0.500 0.500
```

Computed properties:
Uncorrected formation energy (kJ per mole of atoms): 70
Fermi-level density of states (states/eV/f.u.): 4.9
Excess energy over the best structure of this formula in the dataset (meV/atom): 0

***

AgSb2MoI: optimized geometry, GGA-PBEsol.

Structure (POSCAR):
```
AgSb2MoI
1.0
5.224 0.000 0.000
0.000 5.224 0.000
0.000 0.000 5.457
Mo Sb I Ag
1 2 1 1
Direct
0.500 0.500 0.500
0.500 0.000 0.000
0.000 0.500 0.000
0.000 0.000 0.500
0.000 0.000 0.000
```

Computed properties:
Uncorrected formation energy (kJ per mole of atoms): 131
Fermi-level density of states (states/eV/f.u.): 3.6
Excess energy over the best structure of this formula in the dataset (meV/atom): 639

***

AgI2N: optimized geometry, GGA-PBEsol.

Structure (POSCAR):
```
AgI2N
1.0
-2.900 -3.573 2.104
1.161 -1.834 4.570
-2.903 1.122 3.989
I Ag N
2 1 1
Direct
0.250 0.250 0.250
0.750 0.750 0.750
0.500 0.500 0.500
0.000 0.000 0.000
```

Computed properties:
Uncorrected formation energy (kJ per mole of atoms): 129
Fermi-level density of states (states/eV/f.u.): 3.5

***

NaAgIN2: optimized geometry, GGA-PBEsol.

Structure (POSCAR):
```
NaAgIN2
1.0
4.168 0.000 0.000
0.000 4.168 0.000
0.000 0.000 6.510
I Ag N Na
1 1 2 1
Direct
0.000 0.000 0.500
0.000 0.000 0.000
0.000 0.500 0.000
0.500 0.000 0.000
0.500 0.500 0.500
```

Computed properties:
Uncorrected formation energy (kJ per mole of atoms): 114
Fermi-level density of states (states/eV/f.u.): 1.7

***

NiAgI2N: optimized geometry, GGA-PBEsol.

Structure (POSCAR):
```
NiAgI2N
1.0
3.901 0.000 0.000
0.000 5.585 0.000
0.000 0.000 5.585
Ag I N Ni
1 2 1 1
Direct
0.000 0.000 0.000
0.000 0.500 0.000
0.000 0.000 0.500
0.500 0.000 0.000
0.500 0.500 0.500
```

Computed properties:
Uncorrected formation energy (kJ per mole of atoms): 128
Fermi-level density of states (states/eV/f.u.): 6.5

***

AgPtI2N: optimized geometry, GGA-PBEsol.

Structure (POSCAR):
```
AgPtI2N
1.0
-2.144 1.893 2.576
-2.288 -4.750 1.587
3.959 -0.647 3.771
I Pt N Ag
2 1 1 1
Direct
0.000 0.000 0.500
0.000 0.500 0.000
0.500 0.500 0.500
0.500 0.000 0.000
0.000 0.000 0.000
```

Computed properties:
Uncorrected formation energy (kJ per mole of atoms): 135
Fermi-level density of states (states/eV/f.u.): 5.4

***

AgRuI2N: optimized geometry, GGA-PBEsol.

Structure (POSCAR):
```
AgRuI2N
1.0
-1.480 -0.822 -3.247
-2.424 -4.399 2.219
-4.399 3.046 1.233
Ru I Ag N
1 2 1 1
Direct
0.000 0.000 0.000
0.000 0.000 0.500
0.000 0.500 0.000
0.500 0.500 0.500
0.500 0.000 0.000
```

Computed properties:
Uncorrected formation energy (kJ per mole of atoms): 34
Fermi-level density of states (states/eV/f.u.): 3.3

***

TlAg2IN: optimized geometry, GGA-PBEsol.

Structure (POSCAR):
```
TlAg2IN
1.0
5.328 0.000 0.000
0.000 5.328 0.000
0.000 0.000 6.790
N Ag I Tl
1 2 1 1
Direct
0.500 0.500 0.500
0.000 0.500 0.000
0.500 0.000 0.000
0.000 0.000 0.000
0.000 0.000 0.500
```

Computed properties:
Uncorrected formation energy (kJ per mole of atoms): 152
Fermi-level density of states (states/eV/f.u.): 2.5

***

ZnAgIN2: optimized geometry, GGA-PBEsol.

Structure (POSCAR):
```
ZnAgIN2
1.0
-3.005 1.238 -2.329
1.541 -2.041 -3.073
-3.217 -4.821 1.589
N I Ag Zn
2 1 1 1
Direct
0.500 0.000 0.000
0.000 0.500 0.000
0.000 0.000 0.500
0.500 0.500 0.500
0.000 0.000 0.000
```

Computed properties:
Uncorrected formation energy (kJ per mole of atoms): 134
Fermi-level density of states (states/eV/f.u.): 1.5

***

NaAgI2: optimized geometry, GGA-PBEsol.

Structure (POSCAR):
```
NaAgI2
1.0
6.876 0.000 0.000
0.000 6.876 0.000
-3.438 -3.438 6.451
I Ag Na
4 2 2
Direct
0.125 0.093 0.750
0.625 0.657 0.750
0.343 0.875 0.250
0.907 0.375 0.250
0.250 0.750 0.500
0.000 0.000 0.000
0.750 0.250 0.500
0.500 0.500 0.000
```

Computed properties:
Uncorrected formation energy (kJ per mole of atoms): -65
Fermi-level density of states (states/eV/f.u.): 0.0

***

RbNaAgI2: optimized geometry, GGA-PBEsol.

Structure (POSCAR):
```
RbNaAgI2
1.0
5.790 0.000 0.000
0.000 5.790 0.000
0.000 0.000 5.954
I Na Ag Rb
2 1 1 1
Direct
0.500 0.000 0.000
0.000 0.500 0.000
0.000 0.000 0.000
0.500 0.500 0.500
0.000 0.000 0.500
```

Computed properties:
Uncorrected formation energy (kJ per mole of atoms): -22
Fermi-level density of states (states/eV/f.u.): 3.0

***

Raw total energy for the records above, in order: -6.23 -4.47 -3.83 -2.50 -3.53 -2.98 -3.06 -4.76 -2.33 -3.36 -2.73 -2.08 eV per atom